(1)
# ZrCr2Pt, relaxed, DFT PBE-GGA
# size of the total moment = 1.4 μB per formula unit
# DFT formation energy = 0.04 eV per atom
data_ZrCr2Pt
_chemical_formula_sum 'Zr2 Cr4 Pt2'
_symmetry_space_group_name_H-M 'I 4/m m m'
_symmetry_Int_Tables_number 139
_symmetry_space_group_name_Hall '-I 4 2'
_cell_length_a 3.839
_cell_length_b 3.839
_cell_length_c 8.405
_cell_angle_alpha 90.00
_cell_angle_beta 90.00
_cell_angle_gamma 90.00
loop_
_atom_site_label
_atom_site_fract_x
_atom_site_fract_y
_atom_site_fract_z
Zr1 0.000 0.000 0.000
Cr1 0.000 0.500 0.250
Pt1 0.000 0.000 0.500

(2)
# CuSi2IrN, relaxed, DFT PBE-GGA
# formation energy without anion corrections = 1243 meV per atom
# size of the total moment = 2.6 μB per formula unit
data_CuSi2IrN
_chemical_formula_sum 'Cu1 Si2 Ir1 N1'
_symmetry_space_group_name_H-M 'P 4/m m m'
_symmetry_Int_Tables_number 123
_symmetry_space_group_name_Hall '-P 4 2'
_cell_length_a 4.511
_cell_length_b 4.511
_cell_length_c 4.916
_cell_angle_alpha 90.00
_cell_angle_beta 90.00
_cell_angle_gamma 90.00
loop_
_atom_site_label
_atom_site_fract_x
_atom_site_fract_y
_atom_site_fract_z
Cu1 0.000 0.000 0.000
Si1 0.000 0.500 0.500
Ir1 0.000 0.000 0.500
N1 0.500 0.500 0.000